{"formula": "K2CoTeO4", "functional": "PBE+U", "state": "relaxed", "spacegroup": "C2, No. 5", "m_tot_mub_per_cell": 3.03, "energy_ev_per_atom": -5.07, "lattice_angstrom": [[-2.088, 3.014, -5.168], [-2.106, -5.346, -1.172], [-1.004, 2.006, 4.912]], "species": ["K", "K", "Co", "Te", "O", "O", "O", "O"], "fractional_positions": [[0.464, 0.964, 0.929], [0.198, 0.198, 0.396], [0.992, 0.492, 0.984], [0.689, 0.689, 0.377], [0.735, 0.621, 0.717], [0.941, 0.518, 0.327], [0.385, 0.809, 0.327], [0.982, 0.096, 0.717]]}